Model 1:
La6TlZn after structural relaxation, computed with PBE.

Total magnetization   0.0080 μB/atom
Space group   C2/m (12)

Cell: 7.1014 7.1014 7.2072 Å, 104.02 104.02 118.29°
Closest atoms and distances in Å follow each position.
Fractional coordinates of all 8 atoms:
La: 0.0028 0.4222 0.2442  1 Zn 3.08, 1 Tl 3.27, 1 La 3.42
La: 0.2342 0.2342 0.7616  1 Zn 2.94, 1 Tl 3.28
La: 0.4222 0.0028 0.2442  1 Zn 3.08, 1 Tl 3.27, 1 La 3.42
La: 0.5778 0.9972 0.7558  1 Zn 3.08, 1 Tl 3.27, 1 La 3.42
La: 0.7658 0.7658 0.2384  1 Zn 2.94, 1 Tl 3.28
La: 0.9972 0.5778 0.7558  1 Zn 3.08, 1 Tl 3.27, 1 La 3.42
Tl: 0.5000 0.5000 0.5000  6 La 3.27-3.28
Zn: 0.0000 0.0000 0.0000  6 La 2.94-3.08

---

Model 2:
La6TlZn after structural relaxation, computed with PBE.

Total magnetization   0.0000 μB/atom
Space group   I4/mmm (139)

Cell: 9.7996 9.7996 9.7996 Å, 147.92 147.92 46.00°
Closest atoms and distances in Å follow each position.
Fractional coordinates of all 8 atoms:
La: 0.1093 0.6093 0.5000  2 Tl 3.35, 2 Zn 3.35, 4 La 3.69-3.73
La: 0.2482 0.2482 0.0000  12 La 3.69-3.83
La: 0.3907 0.8907 0.5000  2 Tl 3.35, 2 Zn 3.35, 4 La 3.69-3.73
La: 0.6093 0.1093 0.5000  2 Tl 3.35, 2 Zn 3.35, 4 La 3.69-3.73
La: 0.7518 0.7518 0.0000  12 La 3.69-3.83
La: 0.8907 0.3907 0.5000  2 Tl 3.35, 2 Zn 3.35, 4 La 3.69-3.73
Tl: 0.0000 0.0000 0.0000  8 La 3.35
Zn: 0.5000 0.5000 0.0000  8 La 3.35

---

The structure shown above that is least stable: model 1.